Compound: Ac3Zn2Ga
Source: Alexandria via LeMat-Bulk
Functional: PBE
Structure: relaxed

Energy relative to the elements = -1.859 eV per formula unit
N(E_F) = 0.951 states/eV per atom
Symmetry = No. 123
E above lowest polymorph = 0.005 eV per atom

```
Ac3Zn2Ga
1.0
3.906 0.000 0.000
0.000 3.906 0.000
0.000 0.000 11.771
Ac Zn Ga
3 2 1
direct
0.000 0.000 0.000
0.000 0.000 0.335
0.000 0.000 0.665
0.500 0.500 0.165
0.500 0.500 0.835
0.500 0.500 0.500
```


Compound: AcZn3Ga2
Source: Alexandria via LeMat-Bulk
Functional: PBE
Structure: relaxed

Energy relative to the elements = -2.065 eV per formula unit
N(E_F) = 0.276 states/eV per atom
Symmetry = No. 12

```
AcZn3Ga2
1.0
7.992 -2.172 0.000
7.992 2.172 0.000
-3.234 0.000 7.055
Ac Zn Ga
2 6 4
direct
0.151 0.151 0.077
0.849 0.849 0.923
0.031 0.031 0.368
0.314 0.314 0.549
0.400 0.400 0.315
0.600 0.600 0.685
0.686 0.686 0.451
0.969 0.969 0.632
0.190 0.190 0.683
0.479 0.479 0.822
0.521 0.521 0.178
0.810 0.810 0.317
```


Compound: AcZn11Ga
Source: Alexandria via LeMat-Bulk
Functional: PBE
Structure: relaxed

Energy relative to the elements = -1.995 eV per formula unit
N(E_F) = 0.194 states/eV per atom
Symmetry = No. 12

```
AcZn11Ga
1.0
2.668 -6.470 0.000
2.668 6.470 0.000
-2.655 0.000 6.443
Ac Zn Ga
1 11 1
direct
0.000 0.000 0.000
0.000 0.000 0.500
0.000 0.500 0.000
0.016 0.654 0.643
0.269 0.499 0.774
0.346 0.984 0.357
0.499 0.269 0.774
0.500 0.000 0.000
0.501 0.731 0.226
0.654 0.016 0.643
0.731 0.501 0.226
0.984 0.346 0.357
0.500 0.500 0.500
```


Compound: AcZnGa4
Source: Alexandria via LeMat-Bulk
Functional: PBE
Structure: relaxed

Energy relative to the elements = -0.682 eV per formula unit
N(E_F) = 0.609 states/eV per atom
Symmetry = No. 123
E above lowest polymorph = 0.150 eV per atom

```
AcZnGa4
1.0
4.873 0.000 0.000
0.000 4.873 0.000
0.000 0.000 5.869
Ac Zn Ga
1 1 4
direct
0.000 0.000 0.000
0.000 0.000 0.500
0.000 0.500 0.500
0.500 0.000 0.500
0.500 0.500 0.229
0.500 0.500 0.771
```


Compound: Ac3ZnGa
Source: Alexandria via LeMat-Bulk
Functional: PBE
Structure: relaxed

Energy relative to the elements = -1.344 eV per formula unit
N(E_F) = 1.155 states/eV per atom
Symmetry = No. 63
E above lowest polymorph = 0.000 eV per atom

```
Ac3ZnGa
1.0
2.799 -10.578 0.000
2.799 10.578 0.000
0.000 0.000 5.602
Ac Zn Ga
6 2 2
direct
0.070 0.930 0.750
0.249 0.751 0.750
0.429 0.571 0.750
0.571 0.429 0.250
0.751 0.249 0.250
0.930 0.070 0.250
0.343 0.657 0.250
0.657 0.343 0.750
0.158 0.842 0.250
0.842 0.158 0.750
```


Compound: Ac2Zn3Ga5
Source: Alexandria via LeMat-Bulk
Functional: PBE
Structure: relaxed

Energy relative to the elements = -4.652 eV per formula unit
N(E_F) = 0.319 states/eV per atom
Symmetry = No. 115
E above lowest polymorph = 0.023 eV per atom

```
Ac2Zn3Ga5
1.0
4.497 0.000 0.000
0.000 4.497 0.000
0.000 0.000 10.568
Ac Zn Ga
2 3 5
direct
0.000 0.500 0.247
0.500 0.000 0.753
0.000 0.000 0.000
0.000 0.500 0.877
0.500 0.000 0.123
0.000 0.000 0.500
0.000 0.500 0.637
0.500 0.000 0.363
0.500 0.500 0.000
0.500 0.500 0.500
```


Compound: Ac3Zn2Ga2
Source: Alexandria via LeMat-Bulk
Functional: PBE
Structure: relaxed

Energy relative to the elements = -2.798 eV per formula unit
N(E_F) = 0.773 states/eV per atom
Symmetry = No. 12

```
Ac3Zn2Ga2
1.0
5.903 -2.392 0.000
5.903 2.392 0.000
-2.610 0.000 7.094
Ac Zn Ga
3 2 2
direct
0.000 0.000 0.000
0.175 0.175 0.617
0.825 0.825 0.383
0.303 0.303 0.073
0.697 0.697 0.927
0.480 0.480 0.669
0.520 0.520 0.331
```


Compound: Ac3Zn3Ga8
Source: Alexandria via LeMat-Bulk
Functional: PBE
Structure: relaxed

Energy relative to the elements = -6.006 eV per formula unit
N(E_F) = 0.360 states/eV per atom
Symmetry = No. 12
E above lowest polymorph = 0.000 eV per atom

```
Ac3Zn3Ga8
1.0
8.410 -2.265 0.000
8.410 2.265 0.000
-5.978 0.000 8.132
Ac Zn Ga
3 3 8
direct
0.000 0.000 0.000
0.317 0.317 0.319
0.683 0.683 0.681
0.000 0.000 0.500
0.338 0.338 0.703
0.662 0.662 0.297
0.149 0.149 0.418
0.152 0.152 0.880
0.341 0.341 0.967
0.499 0.499 0.717
0.501 0.501 0.283
0.659 0.659 0.033
0.848 0.848 0.120
0.851 0.851 0.582
```


Compound: Ac2ZnGa
Source: Alexandria via LeMat-Bulk
Functional: PBE
Structure: relaxed

Energy relative to the elements = -1.391 eV per formula unit
N(E_F) = 0.993 states/eV per atom
Symmetry = No. 11
E above lowest polymorph = 0.000 eV per atom

```
Ac2ZnGa
1.0
6.659 0.000 0.000
0.000 4.615 0.000
-2.737 0.000 7.981
Ac Zn Ga
4 2 2
direct
0.194 0.250 0.416
0.215 0.250 0.934
0.785 0.750 0.066
0.806 0.750 0.584
0.385 0.750 0.228
0.615 0.250 0.772
0.368 0.750 0.711
0.632 0.250 0.289
```


Compound: AcZnGa4
Source: Alexandria via LeMat-Bulk
Functional: PBE
Structure: relaxed

Energy relative to the elements = -1.038 eV per formula unit
N(E_F) = 0.677 states/eV per atom
Symmetry = No. 216
E above lowest polymorph = 0.091 eV per atom

```
AcZnGa4
1.0
0.000 4.050 4.050
4.050 0.000 4.050
4.050 4.050 0.000
Ac Zn Ga
1 1 4
direct
0.000 0.000 0.000
0.250 0.250 0.250
0.127 0.624 0.624
0.624 0.127 0.624
0.624 0.624 0.127
0.624 0.624 0.624
```


Compound: Ac3Zn8Ga3
Source: Alexandria via LeMat-Bulk
Functional: PBE
Structure: relaxed

Energy relative to the elements = -4.829 eV per formula unit
N(E_F) = 0.414 states/eV per atom
Symmetry = No. 12

```
Ac3Zn8Ga3
1.0
8.342 -2.312 0.000
8.342 2.312 0.000
-5.358 0.000 7.800
Ac Zn Ga
3 8 3
direct
0.000 0.000 0.000
0.307 0.307 0.306
0.693 0.693 0.694
0.144 0.144 0.871
0.151 0.151 0.422
0.340 0.340 0.982
0.499 0.499 0.290
0.501 0.501 0.710
0.660 0.660 0.018
0.849 0.849 0.578
0.856 0.856 0.129
0.000 0.000 0.500
0.343 0.343 0.711
0.657 0.657 0.289
```


Compound: Ac4Zn3Ga
Source: Alexandria via LeMat-Bulk
Functional: PBE
Structure: relaxed

Energy relative to the elements = -2.217 eV per formula unit
N(E_F) = 0.993 states/eV per atom
Symmetry = No. 25
E above lowest polymorph = 0.022 eV per atom

```
Ac4Zn3Ga
1.0
4.063 0.000 0.000
0.000 4.677 0.000
0.000 0.000 12.824
Ac Zn Ga
4 3 1
direct
0.000 0.000 0.000
0.000 0.500 0.297
0.500 0.000 0.499
0.500 0.500 0.797
0.000 0.500 0.588
0.500 0.000 0.208
0.500 0.500 0.089
0.000 0.000 0.711
```


Compound: Ac3Zn2Ga3
Source: Alexandria via LeMat-Bulk
Functional: PBE
Structure: relaxed

Energy relative to the elements = -3.764 eV per formula unit
N(E_F) = 0.396 states/eV per atom
Symmetry = No. 63

```
Ac3Zn2Ga3
1.0
2.392 -5.609 0.000
2.392 5.609 0.000
0.000 0.000 15.735
Ac Zn Ga
6 4 6
direct
0.109 0.891 0.605
0.109 0.891 0.895
0.391 0.609 0.750
0.609 0.391 0.250
0.891 0.109 0.105
0.891 0.109 0.395
0.193 0.807 0.099
0.193 0.807 0.401
0.807 0.193 0.599
0.807 0.193 0.901
0.314 0.686 0.250
0.390 0.610 0.537
0.390 0.610 0.963
0.610 0.390 0.037
0.610 0.390 0.463
0.686 0.314 0.750
```


Compound: Ac3ZnGa
Source: Alexandria via LeMat-Bulk
Functional: PBE
Structure: relaxed

Energy relative to the elements = -1.191 eV per formula unit
N(E_F) = 1.151 states/eV per atom
Symmetry = No. 2
E above lowest polymorph = 0.031 eV per atom

```
Ac3ZnGa
1.0
4.040 0.000 0.000
2.001 8.814 0.000
0.011 0.627 9.487
Ac Zn Ga
6 2 2
direct
0.049 0.402 0.186
0.243 0.014 0.826
0.401 0.699 0.427
0.599 0.301 0.573
0.757 0.986 0.174
0.951 0.598 0.814
0.214 0.073 0.430
0.786 0.927 0.570
0.394 0.712 0.074
0.606 0.288 0.926
```


Compound: Ac5ZnGa4
Source: Alexandria via LeMat-Bulk
Functional: PBE
Structure: relaxed

Energy relative to the elements = -3.961 eV per formula unit
N(E_F) = 1.122 states/eV per atom
Symmetry = No. 123

```
Ac5ZnGa4
1.0
3.905 0.000 0.000
0.000 3.905 0.000
0.000 0.000 19.768
Ac Zn Ga
5 1 4
direct
0.000 0.000 0.000
0.000 0.000 0.201
0.000 0.000 0.400
0.000 0.000 0.600
0.000 0.000 0.799
0.500 0.500 0.500
0.500 0.500 0.100
0.500 0.500 0.302
0.500 0.500 0.698
0.500 0.500 0.900
```


Compound: AcZn5Ga7
Source: Alexandria via LeMat-Bulk
Functional: PBE
Structure: relaxed

Energy relative to the elements = -1.891 eV per formula unit
N(E_F) = 0.329 states/eV per atom
Symmetry = No. 8

```
AcZn5Ga7
1.0
5.289 -4.587 0.000
5.289 4.587 0.000
-2.849 0.000 5.020
Ac Zn Ga
1 5 7
direct
0.000 0.000 0.000
0.004 0.499 0.998
0.005 0.500 0.501
0.224 0.224 0.721
0.499 0.004 0.998
0.500 0.005 0.501
0.216 0.790 0.502
0.357 0.645 0.996
0.359 0.359 0.353
0.644 0.644 0.645
0.645 0.357 0.996
0.778 0.778 0.276
0.790 0.216 0.502
```


Compound: Ac8ZnGa2
Source: Alexandria via LeMat-Bulk
Functional: PBE
Structure: relaxed

Energy relative to the elements = -1.825 eV per formula unit
N(E_F) = 1.261 states/eV per atom
Symmetry = No. 12

```
Ac8ZnGa2
1.0
10.051 -2.752 0.000
10.051 2.752 0.000
-1.608 0.000 7.330
Ac Zn Ga
8 1 2
direct
0.025 0.025 0.272
0.205 0.205 0.821
0.338 0.338 0.529
0.409 0.409 0.042
0.591 0.591 0.958
0.662 0.662 0.471
0.795 0.795 0.179
0.975 0.975 0.728
0.500 0.500 0.500
0.189 0.189 0.243
0.811 0.811 0.757
```


Compound: Ac12ZnGa6
Source: Alexandria via LeMat-Bulk
Functional: PBE
Structure: relaxed

Energy relative to the elements = -2.767 eV per formula unit
N(E_F) = 1.196 states/eV per atom
Symmetry = No. 148

```
Ac12ZnGa6
1.0
7.731 4.463 3.422
-7.731 4.463 3.422
0.000 -8.927 3.422
Ac Zn Ga
12 1 6
direct
0.012 0.869 0.304
0.131 0.696 0.988
0.144 0.383 0.479
0.304 0.012 0.869
0.383 0.479 0.144
0.479 0.144 0.383
0.521 0.856 0.617
0.617 0.521 0.856
0.696 0.988 0.131
0.856 0.617 0.521
0.869 0.304 0.012
0.988 0.131 0.696
0.000 0.000 0.000
0.174 0.629 0.310
0.310 0.174 0.629
0.371 0.690 0.826
0.629 0.310 0.174
0.690 0.826 0.371
0.826 0.371 0.690
```


Compound: Ac4Zn5Ga2
Source: Alexandria via LeMat-Bulk
Functional: PBE
Structure: relaxed

Energy relative to the elements = -3.196 eV per formula unit
N(E_F) = 1.129 states/eV per atom
Symmetry = No. 10

```
Ac4Zn5Ga2
1.0
7.471 0.000 0.000
0.000 4.565 0.000
-1.155 0.000 8.809
Ac Zn Ga
4 5 2
direct
0.217 0.000 0.146
0.270 0.000 0.642
0.730 0.000 0.358
0.783 0.000 0.854
0.134 0.500 0.889
0.398 0.500 0.378
0.500 0.500 0.000
0.602 0.500 0.622
0.866 0.500 0.111
0.058 0.500 0.375
0.942 0.500 0.625
```


Compound: Ac3Zn3Ga8
Source: Alexandria via LeMat-Bulk
Functional: PBE
Structure: relaxed

Energy relative to the elements = -5.838 eV per formula unit
N(E_F) = 0.551 states/eV per atom
Symmetry = No. 71
E above lowest polymorph = 0.012 eV per atom

```
Ac3Zn3Ga8
1.0
-2.255 5.039 6.808
2.255 -5.039 6.808
2.255 5.039 -6.808
Ac Zn Ga
3 3 8
direct
0.000 0.000 0.000
0.314 0.314 0.000
0.686 0.686 0.000
0.288 0.500 0.788
0.500 0.000 0.500
0.712 0.500 0.212
0.026 0.660 0.366
0.132 0.856 0.275
0.294 0.660 0.634
0.419 0.144 0.275
0.581 0.856 0.725
0.706 0.340 0.366
0.868 0.144 0.725
0.974 0.340 0.634
```


Compound: Ac2Zn3Ga
Source: Alexandria via LeMat-Bulk
Functional: PBE
Structure: relaxed

Energy relative to the elements = -2.214 eV per formula unit
N(E_F) = 1.239 states/eV per atom
Symmetry = No. 44
E above lowest polymorph = 0.000 eV per atom

```
Ac2Zn3Ga
1.0
-2.214 2.262 7.801
2.214 -2.262 7.801
2.214 2.262 -7.801
Ac Zn Ga
2 3 1
direct
0.000 0.000 0.000
0.756 0.256 0.500
0.170 0.670 0.500
0.338 0.838 0.500
0.587 0.587 0.000
0.420 0.420 0.000
```


Compound: AcZnGa3
Source: Alexandria via LeMat-Bulk
Functional: PBE
Structure: relaxed

Energy relative to the elements = -1.849 eV per formula unit
N(E_F) = 0.464 states/eV per atom
Symmetry = No. 63
E above lowest polymorph = 0.128 eV per atom

```
AcZnGa3
1.0
2.234 -11.822 0.000
2.234 11.822 0.000
0.000 0.000 4.381
Ac Zn Ga
2 2 6
direct
0.082 0.918 0.750
0.918 0.082 0.250
0.197 0.803 0.250
0.803 0.197 0.750
0.301 0.699 0.250
0.363 0.637 0.750
0.473 0.527 0.750
0.527 0.473 0.250
0.637 0.363 0.250
0.699 0.301 0.750
```


The records above give, respectively, calculated volume values of 29.93; 20.41; 17.11; 23.23; 33.17; 21.37; 28.62; 22.13; 30.66; 22.14; 21.49; 30.46; 26.39; 33.78; 30.15; 18.74; 36.86; 37.28; 27.31; 22.10; 26.04; 23.14 A^3/atom.